Record 1
VASP calculation (GGA-PBE) on Sr2In3Hg8 after structural relaxation.

Computed properties:
As for the magnetic moment: 0.00 μB/f.u. For the total DFT energy (no corrections), the calculation gives -1.314 eV per atom. Its volume is 27.7 Å³/atom. As for the density: 9.8 g cm⁻³. The calculated formation energy is -3.087 eV per formula unit. As for the density of states at the Fermi level: 11.37 states/eV/cell.

a b c (Å): 18.2432 6.6378 5.9737
angles (deg): 90.00 95.32 90.00
With the nearest neighbours (Å) after each atom.
Space group C2/m (No. 12)
Asymmetric unit:
Sr1 0.1787 0.0000 0.2754 [4 per cell]  10 Hg 3.43-3.68, 3 In 3.64-3.84
In1 0.0000 0.0000 0.5000 [2 per cell]  4 In 3.37, 8 Hg 3.39-3.65, 2 Sr 3.64
In2 0.0000 0.2353 0.0000 [4 per cell]  4 Hg 3.01-3.04, 1 In 3.12
Hg1 0.0684 0.5000 0.3709 [4 per cell]  4 Hg 3.00-3.07, 2 In 3.01
Hg2 0.1416 0.2607 0.7707 [8 per cell]  2 In 3.04-3.39, 4 Hg 3.07-3.21
Hg3 0.2176 0.5000 0.1989 [4 per cell]  5 Hg 3.00-3.21


Record 2
VASP calculation (GGA-PBE) on Sr2InHg3 after structural relaxation.

Computed properties:
As for the magnetic moment: 0.00 μB/f.u. For the total DFT energy (no corrections), the calculation gives -1.576 eV per atom. Its volume is 31.8 Å³/atom. As for the density: 7.8 g cm⁻³. The calculated formation energy is -2.447 eV per formula unit. As for the density of states at the Fermi level: 6.42 states/eV/cell.

a b c (Å): 4.4693 4.6536 18.3618
angles (deg): 90.00 90.00 90.00
With the nearest neighbours (Å) after each atom.
Space group Imm2 (No. 44)
Asymmetric unit:
Sr1 0.0000 0.0000 0.0000 [2 per cell]  8 Hg 3.48-3.89, 4 In 3.61
Sr2 0.0000 0.5000 0.2543 [2 per cell]  8 Hg 3.52-3.55, 2 In 3.78
In1 0.0000 0.0000 0.5880 [2 per cell]  3 Hg 2.80-2.92
Hg1 0.0000 0.0000 0.4291 [2 per cell]  2 Hg 2.87, 1 In 2.92
Hg2 0.0000 0.5000 0.6732 [2 per cell]  2 In 2.80, 1 Hg 2.90
Hg3 0.0000 0.5000 0.8314 [2 per cell]  3 Hg 2.87-2.90


Record 3
VASP calculation (GGA-PBE) on Sr2InHg3 after structural relaxation.

Computed properties:
As for the magnetic moment: 0.00 μB/f.u. For the total DFT energy (no corrections), the calculation gives -1.642 eV per atom. Its volume is 29.6 Å³/atom. As for the density: 8.4 g cm⁻³. The calculated formation energy is -2.843 eV per formula unit. As for the density of states at the Fermi level: 28.10 states/eV/cell.

a b c (Å): 7.8022 10.2427 17.7540
angles (deg): 90.00 90.00 90.00
With the nearest neighbours (Å) after each atom.
Space group Fmmm (No. 69)
Asymmetric unit:
Sr1 0.2444 0.0000 0.0000 [8 per cell]  10 Hg 3.53-3.56, 2 In 3.56, 1 Sr 3.81
Sr2 0.2500 0.2500 0.2500 [8 per cell]  8 Hg 3.53-3.54, 4 In 3.55, 2 Sr 3.90
In1 0.0000 0.0000 0.3337 [8 per cell]  3 Hg 2.94-2.95
Hg1 0.0000 0.0000 0.1678 [8 per cell]  1 In 2.95, 2 Hg 2.98
Hg2 0.0000 0.2483 0.4163 [16 per cell]  1 In 2.94, 2 Hg 2.97-2.98


Record 4
VASP calculation (GGA-PBE) on SrIn6Hg12 after structural relaxation.

Computed properties:
As for the magnetic moment: 0.00 μB/f.u. For the total DFT energy (no corrections), the calculation gives -1.232 eV per atom. Its volume is 26.8 Å³/atom. As for the density: 10.4 g cm⁻³. The calculated formation energy is -1.670 eV per formula unit. As for the density of states at the Fermi level: 20.58 states/eV/cell.

a b c (Å): 14.5198 14.5198 8.3784
angles (deg): 90.00 90.00 120.00
With the nearest neighbours (Å) after each atom.
Space group R-3 (No. 148, hexagonal axes)
Asymmetric unit:
Sr1 0.0000 0.0000 0.0000 [3 per cell]  12 Hg 3.42-3.46
In1 0.0317 0.2703 0.3178 [18 per cell]  9 Hg 3.21-3.42, 3 In 3.41-3.50
Hg1 0.0156 0.1440 0.6616 [18 per cell]  7 Hg 3.20-3.56, 4 In 3.21-3.39, 1 Sr 3.46
Hg2 0.0642 0.5680 0.6736 [18 per cell]  6 Hg 3.20-3.56, 5 In 3.22-3.42, 1 Sr 3.42


Record 5
VASP calculation (GGA-PBE) on SrInHg2 after structural relaxation.

Computed properties:
As for the magnetic moment: 0.00 μB/f.u. For the total DFT energy (no corrections), the calculation gives -1.457 eV per atom. Its volume is 32.8 Å³/atom. As for the density: 7.6 g cm⁻³. The calculated formation energy is -0.804 eV per formula unit. As for the density of states at the Fermi level: 11.07 states/eV/cell.

a b c (Å): 5.0013 5.0013 20.9947
angles (deg): 90.00 90.00 90.00
With the nearest neighbours (Å) after each atom.
Space group I-42d (No. 122)
Asymmetric unit:
Sr1 0.0000 0.0000 0.0000 [4 per cell]  4 Hg 3.30, 4 In 3.54
In1 0.0000 0.0000 0.5000 [4 per cell]  4 Hg 3.05
Hg1 0.1872 0.2500 0.6250 [8 per cell]  2 In 3.05, 2 Hg 3.12, 2 Sr 3.30


Record 6
VASP calculation (GGA-PBE) on Sr2In5Hg5 after structural relaxation.

Computed properties:
As for the magnetic moment: 0.00 μB/f.u. For the total DFT energy (no corrections), the calculation gives -1.755 eV per atom. Its volume is 28.8 Å³/atom. As for the density: 8.4 g cm⁻³. The calculated formation energy is -2.494 eV per formula unit. As for the density of states at the Fermi level: 4.56 states/eV/cell.

a b c (Å): 5.1160 6.2649 10.7906
angles (deg): 90.00 90.00 90.00
With the nearest neighbours (Å) after each atom.
Space group Pmmm (No. 47)
Asymmetric unit:
Sr1 0.0000 0.0000 0.0000 [1 per cell]  6 Hg 3.57-3.61
Sr2 0.0000 0.5000 0.5000 [1 per cell]  6 Hg 3.59-3.62
In1 0.5000 0.0000 0.5000 [1 per cell]  4 Hg 3.14, 4 In 3.14
In2 0.5000 0.2509 0.2477 [4 per cell]  5 Hg 3.09-3.13, 3 In 3.12-3.14
Hg1 0.0000 0.0000 0.3312 [2 per cell]  6 In 3.13-3.14
Hg2 0.0000 0.5000 0.1669 [2 per cell]  4 In 3.12, 2 Hg 3.13
Hg3 0.5000 0.5000 0.0000 [1 per cell]  4 In 3.09, 4 Hg 3.13


Record 7
VASP calculation (GGA-PBE) on Sr3In2Hg9 after structural relaxation.

Computed properties:
As for the magnetic moment: 0.00 μB/f.u. For the total DFT energy (no corrections), the calculation gives -1.279 eV per atom. Its volume is 27.9 Å³/atom. As for the density: 9.8 g cm⁻³. The calculated formation energy is -4.660 eV per formula unit. As for the density of states at the Fermi level: 13.93 states/eV/cell.

a b c (Å): 5.2466 9.9309 15.0147
angles (deg): 90.00 90.00 90.00
With the nearest neighbours (Å) after each atom.
Space group Immm (No. 71)
Asymmetric unit:
Sr1 0.0000 0.0000 0.0000 [2 per cell]  12 Hg 3.61-3.76
Sr2 0.0000 0.0000 0.2845 [4 per cell]  12 Hg 3.52-3.66, 2 In 3.64
In1 0.0000 0.1678 0.5000 [4 per cell]  4 Hg 2.96-3.11
Hg1 0.0000 0.2886 0.1459 [8 per cell]  4 Hg 2.99-3.10
Hg2 0.0000 0.3564 0.3473 [8 per cell]  4 Hg 2.85-3.10, 1 In 2.96
Hg3 0.0000 0.5000 0.0000 [2 per cell]  4 Hg 3.03, 4 In 3.11


Record 8
VASP calculation (GGA-PBE) on SrIn4Hg6 after structural relaxation.

Computed properties:
As for the magnetic moment: 0.00 μB/f.u. For the total DFT energy (no corrections), the calculation gives -1.434 eV per atom. Its volume is 27.9 Å³/atom. As for the density: 9.5 g cm⁻³. The calculated formation energy is -1.328 eV per formula unit. As for the density of states at the Fermi level: 3.06 states/eV/cell.

a b c (Å): 8.6734 8.6734 4.7027
angles (deg): 90.00 90.00 120.00
With the nearest neighbours (Å) after each atom.
Space group P-6 (No. 174)
Asymmetric unit:
Sr1 0.0000 0.0000 0.0000 [1 per cell]  9 Hg 3.62-3.89, 6 In 3.96
In1 0.3333 0.6667 0.0000 [1 per cell]  9 Hg 3.08-3.29
In2 0.4183 0.2718 0.5000 [3 per cell]  6 Hg 2.89-3.12
Hg1 0.1403 0.3637 0.5000 [3 per cell]  2 In 2.89-3.10, 2 Hg 3.13
Hg2 0.4800 0.0720 0.0000 [3 per cell]  5 In 3.03-3.12, 2 Hg 3.13


Record 9
VASP calculation (GGA-PBE) on Sr2In3Hg4 after structural relaxation.

Computed properties:
As for the magnetic moment: 0.00 μB/f.u. For the total DFT energy (no corrections), the calculation gives -1.769 eV per atom. Its volume is 27.9 Å³/atom. As for the density: 8.7 g cm⁻³. The calculated formation energy is -3.131 eV per formula unit. As for the density of states at the Fermi level: 4.62 states/eV/cell.

a b c (Å): 5.3163 5.3604 10.1687
angles (deg): 92.64 90.17 119.72
With the nearest neighbours (Å) after each atom.
Space group P-1 (No. 2)
Asymmetric unit:
Sr1 0.1813 0.3607 0.2219 [2 per cell]  7 Hg 3.29-3.34, 3 In 3.63-3.66
In1 0.1499 0.3027 0.5766 [2 per cell]  4 Hg 3.12-3.26, 1 In 3.14
In2 0.5000 0.0000 0.0000 [1 per cell]  8 Hg 3.24-3.52
Hg1 0.1590 0.3186 0.8976 [2 per cell]  4 In 3.24-3.28, 4 Sr 3.29-3.32
Hg2 0.4788 0.9607 0.6532 [2 per cell]  3 In 3.12-3.22, 1 Hg 3.16, 3 Sr 3.33-3.34


Record 10
VASP calculation (GGA-PBE) on Sr2InHg after structural relaxation.

Computed properties:
As for the magnetic moment: 0.00 μB/f.u. For the total DFT energy (no corrections), the calculation gives -1.902 eV per atom. Its volume is 37.1 Å³/atom. As for the density: 5.5 g cm⁻³. The calculated formation energy is -1.203 eV per formula unit. As for the density of states at the Fermi level: 11.78 states/eV/cell.

a b c (Å): 4.1756 4.1756 29.5064
angles (deg): 90.00 90.00 120.00
With the nearest neighbours (Å) after each atom.
Space group R-3m (No. 166, hexagonal axes)
Asymmetric unit:
Sr1 0.0000 0.0000 0.2465 [6 per cell]  3 Hg 3.37, 3 In 3.52
In1 0.0000 0.0000 0.0000 [3 per cell]  6 Sr 3.52
Hg1 0.0000 0.0000 0.5000 [3 per cell]  6 Sr 3.37


Record 11
VASP calculation (GGA-PBE) on Sr2In3Hg2 after structural relaxation.

Computed properties:
As for the magnetic moment: 0.00 μB/f.u. For the total DFT energy (no corrections), the calculation gives -2.115 eV per atom. Its volume is 29.5 Å³/atom. As for the density: 7.4 g cm⁻³. The calculated formation energy is -2.620 eV per formula unit. As for the density of states at the Fermi level: 7.90 states/eV/cell.

a b c (Å): 11.8544 4.8564 7.7999
angles (deg): 90.00 113.12 90.00
With the nearest neighbours (Å) after each atom.
Space group C2/m (No. 12)
Asymmetric unit:
Sr1 0.1446 0.0000 0.2796 [4 per cell]  4 Hg 3.38-3.58, 6 In 3.55-3.76
In1 0.0000 0.5000 0.5000 [2 per cell]  2 In 3.06, 4 Hg 3.17
In2 0.1017 0.5000 0.9268 [4 per cell]  3 Hg 3.03-3.09, 2 In 3.05-3.06
Hg1 0.1601 0.0000 0.7310 [4 per cell]  5 In 3.03-3.17, 2 Sr 3.38


Record 12
VASP calculation (GGA-PBE) on SrIn3Hg6 after structural relaxation.

Computed properties:
As for the magnetic moment: 0.00 μB/f.u. For the total DFT energy (no corrections), the calculation gives -1.337 eV per atom. Its volume is 27.0 Å³/atom. As for the density: 10.0 g cm⁻³. The calculated formation energy is -1.664 eV per formula unit. As for the density of states at the Fermi level: 6.35 states/eV/cell.

a b c (Å): 8.7587 5.1191 12.7100
angles (deg): 90.00 108.48 90.00
With the nearest neighbours (Å) after each atom.
Space group P2_1/m (No. 11)
Asymmetric unit:
Sr1 0.0997 0.2500 0.3826 [2 per cell]  10 Hg 3.35-3.59
In1 0.2612 0.2500 0.9860 [2 per cell]  7 Hg 3.07-3.28, 2 In 3.34
In2 0.3112 0.7500 0.8316 [2 per cell]  8 Hg 3.09-3.44, 2 In 3.34
In3 0.4815 0.7500 0.4077 [2 per cell]  7 Hg 3.13-3.45, 2 In 3.42
Hg1 0.0160 0.7500 0.9150 [2 per cell]  4 In 3.07-3.28, 4 Hg 3.09-3.42
Hg2 0.1272 0.7500 0.2149 [2 per cell]  6 Hg 3.09-3.39, 1 In 3.29, 2 Sr 3.39
Hg3 0.1811 0.2500 0.6775 [2 per cell]  4 Hg 3.17-3.49, 3 In 3.20-3.45, 2 Sr 3.46
Hg4 0.2524 0.7500 0.5536 [2 per cell]  4 In 3.13-3.41, 3 Hg 3.17-3.27, 3 Sr 3.35-3.43
Hg5 0.3924 0.2500 0.2584 [2 per cell]  4 In 3.13-3.28, 5 Hg 3.25-3.38, 1 Sr 3.41
Hg6 0.4448 0.7500 0.1166 [2 per cell]  6 In 3.19-3.44, 4 Hg 3.25-3.49